Compound: TlFe2W
Source: Alexandria via LeMat-Bulk
Functional: PBE
Structure: optimized geometry

Output
Its total energy is -7.39 eV per atom. As for the energy relative to the elements: 0.67 eV/atom. As for the relative energy among the computed polymorphs: 0.235 eV/atom.

abc: 2.9408 2.9408 25.8952
angles: 90.00 90.00 120.00
Closest atoms and distances in Å follow each position.
Space group R3m (No. 160, hexagonal axes)
Inequivalent atoms, fractional coordinates:
Tl (0.0000, 0.0000, 0.0000) (multiplicity 3)  3 Fe 2.89, 6 Tl 2.94, 3 W 3.06
Fe (0.0000, 0.0000, 0.4924) (multiplicity 3)  3 Fe 2.46, 3 W 2.60
Fe (0.0000, 0.0000, 0.7570) (multiplicity 3)  3 Fe 2.46
W (0.0000, 0.0000, 0.2350) (multiplicity 3)  3 Fe 2.60


Compound: ThCd11Hg
Source: Alexandria via LeMat-Bulk
Functional: PBE
Structure: optimized geometry

Output
Its total energy is -1.41 eV per atom. As for the energy relative to the elements: -0.04 eV/atom.

abc: 6.0107 14.1183 7.6615
angles: 90.00 112.92 90.00
Closest atoms and distances in Å follow each position.
Space group C2/m (No. 12)
Inequivalent atoms, fractional coordinates:
Th (0.0000, 0.0000, 0.0000) (multiplicity 2)  18 Cd 3.52-3.84, 2 Hg 3.84
Cd (0.0000, 0.0000, 0.5000) (multiplicity 2)  8 Cd 2.93-3.09, 2 Hg 3.01
Cd (0.1095, 0.3948, 0.2097) (multiplicity 8)  7 Cd 2.92-3.26, 1 Hg 2.95
Cd (0.1736, 0.1767, 0.3511) (multiplicity 8)  7 Cd 2.95-3.29, 1 Hg 3.10
Cd (0.2500, 0.2500, 0.0000) (multiplicity 4)  10 Cd 2.92-3.08
Hg (0.0000, 0.5000, 0.5000) (multiplicity 2)  10 Cd 2.95-3.10


Compound: AgGeO2
Source: Alexandria via LeMat-Bulk
Functional: PBE
Structure: optimized geometry

Output
Its uncorrected formation energy is -0.69 eV per atom. Its total energy is -5.03 eV per atom.

abc: 3.1164 4.0047 5.1496
angles: 100.26 90.17 112.52
Closest atoms and distances in Å follow each position.
Space group P1 (No. 1)
Inequivalent atoms, fractional coordinates:
Ag (0.0000, 0.0000, 0.0000) (multiplicity 1)  4 O 2.31-2.49
Ge (0.7728, 0.5394, 0.5484) (multiplicity 1)  3 O 1.76-1.91
O (0.1404, 0.2698, 0.6139) (multiplicity 1)  2 Ge 1.91
O (0.7508, 0.4953, 0.2019) (multiplicity 1)  1 Ge 1.76


Compound: PuScInHg
Source: Alexandria via LeMat-Bulk
Functional: PBE
Structure: optimized geometry

Output
Its total energy is -6.20 eV per atom. As for the energy relative to the elements: -0.27 eV/atom. As for the relative energy among the computed polymorphs: 0.000 eV/atom.

abc: 3.2254 3.2254 9.0733
angles: 90.00 90.00 90.00
Closest atoms and distances in Å follow each position.
Space group P4mm (No. 99)
Inequivalent atoms, fractional coordinates:
Pu (0.0000, 0.0000, 0.0000) (multiplicity 1)  4 Pu 3.23, 4 Hg 3.32, 4 In 3.35
Sc (0.0000, 0.0000, 0.5077) (multiplicity 1)  4 Hg 3.07, 4 In 3.14, 4 Sc 3.23
In (0.5000, 0.5000, 0.2702) (multiplicity 1)  4 Sc 3.14, 4 In 3.23, 4 Pu 3.35
Hg (0.5000, 0.5000, 0.7340) (multiplicity 1)  4 Sc 3.07, 4 Hg 3.23, 4 Pu 3.32


Compound: Pu4InGa
Source: Alexandria via LeMat-Bulk
Functional: PBE
Structure: optimized geometry

Output
Its total energy is -10.56 eV per atom. As for the energy relative to the elements: -0.04 eV/atom.

abc: 5.5667 9.6378 11.0891
angles: 90.00 90.00 90.00
Closest atoms and distances in Å follow each position.
Space group Cccm (No. 66)
Inequivalent atoms, fractional coordinates:
Pu (0.0000, 0.1701, 0.2500) (multiplicity 8)  3 In 3.18-3.23, 5 Pu 3.18-3.28, 2 Ga 3.20
Pu (0.2503, 0.0836, 0.0000) (multiplicity 8)  2 In 3.20, 5 Pu 3.21-3.22, 3 Ga 3.21
In (0.0000, 0.5000, 0.2500) (multiplicity 4)  10 Pu 3.18-3.23
Ga (0.2500, 0.2500, 0.5000) (multiplicity 4)  10 Pu 3.20-3.21


Compound: Pr2Cu4Ge3Au
Source: Alexandria via LeMat-Bulk
Functional: PBE
Structure: optimized geometry

Output
Its total energy is -4.78 eV per atom. As for the energy relative to the elements: -0.47 eV/atom.

abc: 4.2927 4.2927 10.0152
angles: 90.00 90.00 90.00
Closest atoms and distances in Å follow each position.
Space group P-4m2 (No. 115)
Inequivalent atoms, fractional coordinates:
Pr (0.0000, 0.5000, 0.2424) (multiplicity 2)  8 Cu 3.24-3.27, 6 Ge 3.25-3.36, 2 Au 3.36
Cu (0.0000, 0.0000, 0.0000) (multiplicity 1)  4 Ge 2.50
Cu (0.0000, 0.5000, 0.6356) (multiplicity 2)  3 Ge 2.38-2.54, 2 Au 2.54
Cu (0.5000, 0.5000, 0.0000) (multiplicity 1)  4 Ge 2.50
Ge (0.0000, 0.5000, 0.8729) (multiplicity 2)  5 Cu 2.38-2.50
Ge (0.5000, 0.5000, 0.5000) (multiplicity 1)  4 Cu 2.54
Au (0.0000, 0.0000, 0.5000) (multiplicity 1)  4 Cu 2.54


Compound: LiBiTe2N
Source: Alexandria via LeMat-Bulk
Functional: PBE
Structure: optimized geometry

Output
Its uncorrected formation energy is 0.71 eV per atom. Its total energy is -3.37 eV per atom. As for the relative energy among the computed polymorphs: 0.044 eV/atom.

abc: 6.0552 6.0552 4.4345
angles: 90.00 90.00 90.00
Closest atoms and distances in Å follow each position.
Space group P4/mmm (No. 123)
Inequivalent atoms, fractional coordinates:
Li (0.0000, 0.0000, 0.0000) (multiplicity 1)  8 Te 3.75
Bi (0.5000, 0.5000, 0.5000) (multiplicity 1)  2 N 2.22
Te (0.0000, 0.5000, 0.5000) (multiplicity 2)  2 Bi 3.03
N (0.5000, 0.5000, 0.0000) (multiplicity 1)  2 Bi 2.22


Compound: LuCoNiRu
Source: Alexandria via LeMat-Bulk
Functional: PBE
Structure: optimized geometry

Output
Its total energy is -6.70 eV per atom. As for the energy relative to the elements: -0.03 eV/atom.

abc: 6.1892 6.1892 6.1892
angles: 90.00 90.00 90.00
Closest atoms and distances in Å follow each position.
Space group F-43m (No. 216)
Inequivalent atoms, fractional coordinates:
Lu (0.0000, 0.0000, 0.0000) (multiplicity 4)  4 Co 2.68, 4 Ni 2.68
Co (0.2500, 0.2500, 0.7500) (multiplicity 4)  4 Ru 2.68, 4 Lu 2.68
Ni (0.2500, 0.2500, 0.2500) (multiplicity 4)  4 Lu 2.68, 4 Ru 2.68
Ru (0.0000, 0.0000, 0.5000) (multiplicity 4)  4 Ni 2.68, 4 Co 2.68


Compound: BaCd2Pd2
Source: Alexandria via LeMat-Bulk
Functional: PBE
Structure: optimized geometry

Output
Its total energy is -3.24 eV per atom. As for the energy relative to the elements: -0.41 eV/atom. As for the relative energy among the computed polymorphs: 0.059 eV/atom.

abc: 4.9363 4.9363 10.4495
angles: 90.00 90.00 90.00
Closest atoms and distances in Å follow each position.
Space group I4/mmm (No. 139)
Inequivalent atoms, fractional coordinates:
Ba (0.0000, 0.0000, 0.0000) (multiplicity 2)  8 Pd 3.59, 10 Cd 3.77-3.79
Cd (0.0000, 0.0000, 0.3624) (multiplicity 4)  4 Pd 2.73, 1 Cd 2.88
Pd (0.0000, 0.5000, 0.2500) (multiplicity 4)  4 Cd 2.73


Compound: Er2Zn2Cu15
Source: Alexandria via LeMat-Bulk
Functional: PBE
Structure: optimized geometry

Output
Its total energy is -4.00 eV per atom. As for the energy relative to the elements: -0.15 eV/atom.

abc: 8.5593 8.5593 12.5865
angles: 90.00 90.00 120.00
Closest atoms and distances in Å follow each position.
Space group R-3m (No. 166, hexagonal axes)
Inequivalent atoms, fractional coordinates:
Er (0.0000, 0.0000, 0.1523) (multiplicity 6)  18 Cu 3.01-3.36, 1 Zn 3.09
Zn (0.0000, 0.0000, 0.3979) (multiplicity 6)  1 Zn 2.57, 12 Cu 2.60-2.88
Cu (0.0000, 0.3008, 0.5000) (multiplicity 18)  8 Cu 2.47-2.62
Cu (0.0000, 0.5000, 0.0000) (multiplicity 9)  8 Cu 2.47-2.49, 2 Zn 2.60
Cu (0.0025, 0.5012, 0.6535) (multiplicity 18)  8 Cu 2.47-2.62, 1 Zn 2.67


Compound: CoSiAs2
Source: Alexandria via LeMat-Bulk
Functional: PBE
Structure: optimized geometry

Output
Its uncorrected formation energy is 0.20 eV per atom. Its total energy is -5.25 eV per atom.

abc: 2.8474 4.0815 10.9351
angles: 90.00 90.00 90.00
Closest atoms and distances in Å follow each position.
Space group Imm2 (No. 44)
Inequivalent atoms, fractional coordinates:
Co (0.0000, 0.0000, 0.0000) (multiplicity 2)  2 Si 2.45, 6 As 2.50
Si (0.0000, 0.5000, 0.6822) (multiplicity 2)  2 Co 2.45, 2 As 2.73
As (0.0000, 0.0000, 0.5169) (multiplicity 2)  4 Co 2.50, 2 Si 2.73
As (0.0000, 0.5000, 0.3126) (multiplicity 2)  2 Co 2.50


Compound: IrOsCCl2
Source: Alexandria via LeMat-Bulk
Functional: PBE
Structure: optimized geometry

Output
Its uncorrected formation energy is 2.05 eV per atom. Its total energy is -4.55 eV per atom.

abc: 4.3653 4.3653 4.0847
angles: 90.00 90.00 90.00
Closest atoms and distances in Å follow each position.
Space group P4/mmm (No. 123)
Inequivalent atoms, fractional coordinates:
Ir (0.0000, 0.0000, 0.0000) (multiplicity 1)  8 Cl 2.99, 4 Os 3.09
Os (0.5000, 0.5000, 0.0000) (multiplicity 1)  2 C 2.04
C (0.5000, 0.5000, 0.5000) (multiplicity 1)  2 Os 2.04, 4 Cl 2.18
Cl (0.0000, 0.5000, 0.5000) (multiplicity 2)  2 C 2.18